Entry 1:
This record from Alexandria via LeMat-Bulk describes a relaxed CrBiS2 crystal. The functional is PBE.

Calculated values
Electronic total energy in eV/atom: -5.963
V in Å³/atom: 22.063
SG: No. 166
Formation energy without anion corrections in meV/atom: -523

Cell and atoms, written as POSCAR:
```
CrBiS2
1.0
1.764 1.018 8.191
-1.764 1.018 8.191
0.000 -2.036 8.191
Cr Bi S
1 1 2
direct
0.000 0.000 0.000
0.500 0.500 0.500
0.385 0.385 0.385
0.615 0.615 0.615
```

Entry 2:
This record from Alexandria via LeMat-Bulk describes a relaxed CrBiS2 crystal. The functional is PBE.

Calculated values
Electronic total energy in eV/atom: -5.632
V in Å³/atom: 23.471
SG: No. 156
Formation energy without anion corrections in meV/atom: -192

Cell and atoms, written as POSCAR:
```
CrBiS2
1.0
3.586 0.000 0.000
-1.793 3.105 0.000
0.000 0.000 8.431
Cr Bi S
1 1 2
direct
0.000 0.000 0.000
0.667 0.333 0.494
0.000 0.000 0.267
0.333 0.667 0.877
```

Entry 3:
This record from Alexandria via LeMat-Bulk describes a relaxed CrBiS3 crystal. The functional is PBE.

Calculated values
Electronic total energy in eV/atom: -5.620
V in Å³/atom: 23.821
SG: No. 11
Formation energy without anion corrections in meV/atom: -443

Cell and atoms, written as POSCAR:
```
CrBiS3
1.0
6.643 0.000 0.000
0.000 3.718 0.000
-0.149 0.000 9.644
Cr Bi S
2 2 6
direct
0.075 0.250 0.160
0.925 0.750 0.840
0.420 0.250 0.811
0.580 0.750 0.189
0.053 0.250 0.701
0.198 0.750 0.013
0.375 0.250 0.321
0.625 0.750 0.679
0.802 0.250 0.987
0.947 0.750 0.299
```

Entry 4:
This record from Alexandria via LeMat-Bulk describes a relaxed CrBiS3 crystal. The functional is PBE.

Calculated values
Electronic total energy in eV/atom: -4.425
V in Å³/atom: 27.757
SG: No. 221
Formation energy without anion corrections in meV/atom: 752

Cell and atoms, written as POSCAR:
```
CrBiS3
1.0
5.177 0.000 0.000
0.000 5.177 0.000
0.000 0.000 5.177
Cr Bi S
1 1 3
direct
0.000 0.000 0.000
0.500 0.500 0.500
0.000 0.500 0.500
0.500 0.000 0.500
0.500 0.500 0.000
```

Question: Look up the electronic total energy of the third one.
Answer: -5.620 eV/atom